No. 1
Below is LiPm5Nd8 after structural relaxation, with properties calculated at the PBE level.

a = 8.6018 Å, b = 8.6018 Å, c = 8.6018 Å
α = 110.80°, β = 110.80°, γ = 106.84°
Closest atoms and distances in Å follow each position.
Positions (direct):
Li (0.0000, 0.0000, 0.0000)  4 Nd 3.09
Pm (0.2262, 0.0328, 0.6058)  8 Nd 3.42-3.70, 2 Pm 3.54
Pm (0.3796, 0.7738, 0.8066)  8 Nd 3.42-3.70, 2 Pm 3.54
Pm (0.4270, 0.6204, 0.3942)  8 Nd 3.42-3.70, 2 Pm 3.54
Pm (0.7500, 0.2500, 0.5000)  8 Nd 3.24-3.42
Pm (0.9672, 0.5730, 0.1934)  8 Nd 3.42-3.70, 2 Pm 3.54
Nd (0.0757, 0.3000, 0.3876)  1 Li 3.09, 2 Pm 3.24-3.42
Nd (0.1745, 0.4153, 0.8969)  5 Pm 3.42-3.70, 3 Nd 3.62-3.79
Nd (0.3119, 0.9243, 0.2242)  1 Li 3.09, 2 Pm 3.24-3.42
Nd (0.5184, 0.2776, 0.1031)  5 Pm 3.42-3.70, 3 Nd 3.62-3.79
Nd (0.5847, 0.4816, 0.7592)  5 Pm 3.42-3.70, 3 Nd 3.62-3.79
Nd (0.7000, 0.0876, 0.7758)  1 Li 3.09, 2 Pm 3.24-3.42
Nd (0.7224, 0.8255, 0.2408)  5 Pm 3.42-3.70, 3 Nd 3.62-3.79
Nd (0.9124, 0.6881, 0.6124)  1 Li 3.09, 2 Pm 3.24-3.42

- space-group type = I-4 (82)
- Fermi-level density of states (states/eV/f.u.) = 19.4
- DFT formation energy (eV per atom) = 0.22
- total DFT energy (no corrections) (eV per atom) = -4.339

No. 2
Below is Li2PmNd after structural relaxation, with properties calculated at the PBE level.

a = 5.2811 Å, b = 5.2811 Å, c = 3.9578 Å
α = 90.00°, β = 90.00°, γ = 90.00°
Closest atoms and distances in Å follow each position.
Positions (direct):
Li (0.0000, 0.5000, 0.0000)  4 Nd 3.30, 4 Pm 3.30
Li (0.5000, 0.0000, 0.0000)  4 Nd 3.30, 4 Pm 3.30
Pm (0.0000, 0.0000, 0.5000)  8 Li 3.30
Nd (0.5000, 0.5000, 0.5000)  8 Li 3.30

- space-group type = P4/mmm (123)
- Fermi-level density of states (states/eV/f.u.) = 6.0
- DFT formation energy (eV per atom) = 0.15
- total DFT energy (no corrections) (eV per atom) = -3.184